The following is a PBE-GGA calculation of CaLaY2 after structural relaxation, from the Alexandria database. Values from VASP.

Space group = F-43m (216)
Polymorph energy (0 for the lowest one) = 67 meV per atom

Geometry as Quantum ESPRESSO input:
```
&SYSTEM
  ibrav = 0, nat = 4, ntyp = 3
/
ATOMIC_SPECIES
Ca 40.08 Ca.upf
La 138.91 La.upf
Y 88.91 Y.upf
ATOMIC_POSITIONS crystal
Ca 0.0000 0.0000 0.0000
La 0.2500 0.2500 0.2500
Y 0.5000 0.5000 0.5000
Y 0.7500 0.7500 0.7500
CELL_PARAMETERS angstrom
0.0000 4.1451 4.1451
4.1451 0.0000 4.1451
4.1451 4.1451 0.0000
```